This record from Alexandria describes a relaxed FeSNF2 crystal. The functional is PBE with a Hubbard U.

Unit cell a=4.6564 b=4.6564 c=3.2931 alpha=90.00 beta=90.00 gamma=90.00
With the nearest neighbours (Å) after each atom.
Atoms (fractional coordinates):
Fe (0.0000, 0.0000, 0.0000)  8 F 2.85
S (0.5000, 0.5000, 0.5000)  2 N 1.65
N (0.5000, 0.5000, 0.0000)  2 S 1.65
F (0.0000, 0.5000, 0.5000)  2 S 2.33
F (0.5000, 0.0000, 0.5000)  2 S 2.33

Values from the calculation:
Total magnetic moment (μB/cell): 4.45
N(E_F) (states/eV per cell): 1.2
Space group: No. 123
Relative energy among the computed polymorphs (meV/atom): 228